! Y2ErSe PBE optimized geometry; values from VASP
! * magnetization: 0.000 μB/f.u.
! * density of states at the Fermi level: 5.3 states/eV per cell
! * energy relative to the elements, uncorrected: -0.5490 eV/atom
&SYSTEM
  ibrav = 0, nat = 4, ntyp = 3
/
ATOMIC_SPECIES
Y 88.91 Y.upf
Er 167.26 Er.upf
Se 78.96 Se.upf
ATOMIC_POSITIONS crystal
Y 0.108 0.108 0.108
Y 0.892 0.892 0.892
Er 0.000 0.000 0.000
Se 0.500 0.500 0.500
CELL_PARAMETERS angstrom
1.860 1.074 10.236
-1.860 1.074 10.236
0.000 -2.148 10.236